Entry from the Alexandria database: a PBEsol-optimized structure of Al3BOs (SCAN).

Values from the calculation:
M_tot in Bohr magnetons per cell: 0.0
Symmetry: Pm-3m
Energy of formation in eV/f.u.: 1.71
Calculated total energy in eV/atom: -20.1705

Cell: 4.059 4.059 4.059 Å, 90.00 90.00 90.00°
Sites, in units of the cell vectors:
Al  0.000  0.000  0.500
Al  0.000  0.500  0.000
Al  0.500  0.000  0.000
B  0.000  0.000  0.000
Os  0.500  0.500  0.500


Entry from the Alexandria database: a PBEsol-optimized structure of KHg2Au (SCAN).

Values from the calculation:
M_tot in Bohr magnetons per cell: 0.0
Symmetry: P4mm
E above lowest polymorph in meV/atom: 66
Energy of formation in eV/f.u.: -0.87
Calculated total energy in eV/atom: -53.6715

Cell: 3.775 3.775 7.270 Å, 90.00 90.00 90.00°
Sites, in units of the cell vectors:
K  0.000  0.000  0.000
Hg  0.000  0.000  0.459
Hg  0.500  0.500  0.696
Au  0.500  0.500  0.298


Entry from the Alexandria database: a PBEsol-optimized structure of LaMgAuI2 (SCAN).

Values from the calculation:
M_tot in Bohr magnetons per cell: 0.0
Symmetry: P4/mmm
Formation energy from raw total energies in meV per atom: -82
Calculated total energy in eV/atom: -38.2255

Cell: 5.698 5.698 5.618 Å, 90.00 90.00 90.00°
Sites, in units of the cell vectors:
La  0.000  0.000  0.000
Mg  0.500  0.500  0.000
Au  0.000  0.000  0.500
I  0.000  0.500  0.500
I  0.500  0.000  0.500


Entry from the Alexandria database: a PBEsol-optimized structure of ZnIr5 (SCAN).

Values from the calculation:
M_tot in Bohr magnetons per cell: 0.0
Symmetry: P4/mmm
Energy of formation in eV/f.u.: -0.21
Calculated total energy in eV/atom: -61.5367

Cell: 2.717 2.717 11.354 Å, 90.00 90.00 90.00°
Sites, in units of the cell vectors:
Zn  0.000  0.000  0.000
Ir  0.000  0.000  0.331
Ir  0.000  0.000  0.669
Ir  0.500  0.500  0.167
Ir  0.500  0.500  0.500
Ir  0.500  0.500  0.833


Entry from the Alexandria database: a PBEsol-optimized structure of ZrNbCr4 (SCAN).

Values from the calculation:
M_tot in Bohr magnetons per cell: 0.0
Symmetry: F-43m
Energy of formation in eV/f.u.: -0.05
Calculated total energy in eV/atom: -22.9022

Cell: 4.918 4.918 4.918 Å, 60.00 60.00 60.00°
Sites, in units of the cell vectors:
Zr  0.000  0.000  0.000
Nb  0.750  0.750  0.750
Cr  0.375  0.375  0.375
Cr  0.375  0.375  0.874
Cr  0.375  0.874  0.375
Cr  0.874  0.375  0.375


Entry from the Alexandria database: a PBEsol-optimized structure of CrFeCo2 (SCAN).

Values from the calculation:
M_tot in Bohr magnetons per cell: 6.5
Symmetry: Cmmm
Energy of formation in eV/f.u.: 0.15
Calculated total energy in eV/atom: -17.7439

Cell: 2.402 2.402 7.851 Å, 90.00 90.00 108.64°
Sites, in units of the cell vectors:
Cr  0.000  0.000  0.000
Fe  0.000  0.000  0.500
Co  0.500  0.500  0.251
Co  0.500  0.500  0.749


Number 1: V 13.37 Å³ per atom. Number 2: V 25.90 Å³ per atom. Number 3: V 36.48 Å³ per atom. Number 4: V 13.97 Å³ per atom. Number 5: V 14.02 Å³ per atom. Number 6: V 10.73 Å³ per atom.